Computed, not measured: a geometry-optimized TlVAs2O6 structure at the GGA+U level of DFT. Values from VASP.

Quantum ESPRESSO input file:
```
&SYSTEM
  ibrav = 0, nat = 20, ntyp = 4
/
ATOMIC_SPECIES
Tl 204.38 Tl.upf
V 50.94 V.upf
As 74.92 As.upf
O 16.00 O.upf
ATOMIC_POSITIONS angstrom
Tl -0.689 -7.157 -1.807
Tl -6.242 -1.285 6.575
V -2.561 -1.714 5.110
V -4.370 -6.728 -0.342
As -2.218 -6.007 2.510
As -0.962 -3.067 0.536
As -4.712 -2.435 2.258
As -5.969 -5.376 4.232
O -2.375 0.036 5.107
O -3.170 -2.233 6.677
O -4.556 -8.478 -0.339
O -3.761 -6.209 -1.909
O -3.218 -6.271 0.869
O -5.924 -6.015 -0.065
O -3.713 -2.172 3.899
O -1.006 -2.427 4.833
O -6.762 -6.878 4.157
O -3.586 -1.902 1.101
O -0.169 -1.564 0.611
O -3.345 -6.540 3.667
CELL_PARAMETERS angstrom
-6.467 -1.744 -0.378
1.231 -7.605 -2.836
-1.696 0.907 7.981
```

Results
- E: -6.2288 eV/atom
- Space group: C2/c
- Calculated volume: 389.1 Å³ per cell